(1)
Computed, not measured: an optimized crystal structure of Y2IrPd2 at the PBE-GGA level of DFT.

- formation energy from the elements (meV/atom) = -590
- space-group type = Ibam, No. 72
- size of the total moment (μB/atom) = 0.000
- energy above the most stable polymorph in this dataset (eV per atom) = 0.077

Cell: 7.4291 7.4291 7.4291 Å, 130.21 69.06 135.38°
Closest atoms and distances in Å follow each position.
Positions (direct):
Y 0.1611 0.2236 0.3847  2 Ir 2.80, 4 Pd 2.88-3.01
Y 0.3389 0.7236 0.0626  2 Ir 2.80, 4 Pd 2.88-3.01
Y 0.6611 0.2764 0.9374  2 Ir 2.80, 4 Pd 2.88-3.01
Y 0.8389 0.7764 0.6153  2 Ir 2.80, 4 Pd 2.88-3.01
Ir 0.2500 0.2500 0.0000  4 Pd 2.78, 4 Y 2.80, 2 Ir 2.82
Ir 0.7500 0.7500 0.0000  4 Pd 2.78, 4 Y 2.80, 2 Ir 2.82
Pd 0.0970 0.6667 0.7637  2 Ir 2.78, 4 Y 2.88-3.01
Pd 0.4030 0.1667 0.5697  2 Ir 2.78, 4 Y 2.88-3.01
Pd 0.5970 0.8333 0.4303  2 Ir 2.78, 4 Y 2.88-3.01
Pd 0.9030 0.3333 0.2363  2 Ir 2.78, 4 Y 2.88-3.01

***

(2)
Computed, not measured: an optimized crystal structure of Ca3ZnCd at the PBE-GGA level of DFT.

- formation energy from the elements (meV/atom) = 24
- space-group type = Pm-3m, No. 221
- size of the total moment (μB/atom) = 0.000
- energy above the most stable polymorph in this dataset (eV per atom) = 0.255

Cell: 5.6800 5.6800 5.6800 Å, 90.00 90.00 90.00°
Closest atoms and distances in Å follow each position.
Positions (direct):
Ca 0.0000 0.0000 0.5000  2 Zn 2.84
Ca 0.0000 0.5000 0.0000  2 Zn 2.84
Ca 0.5000 0.0000 0.0000  2 Zn 2.84
Zn 0.0000 0.0000 0.0000  6 Ca 2.84
Cd 0.5000 0.5000 0.5000  12 Ca 4.02

***

(3)
Computed, not measured: an optimized crystal structure of Sr2FeMo at the PBE-GGA level of DFT.

- formation energy from the elements (meV/atom) = 1182
- space-group type = Fm-3m, No. 225
- size of the total moment (μB/atom) = 1.508
- energy above the most stable polymorph in this dataset (eV per atom) = 0.612

Cell: 5.4128 5.4128 5.4128 Å, 60.00 60.00 60.00°
Closest atoms and distances in Å follow each position.
Positions (direct):
Sr 0.2500 0.2500 0.2500  4 Mo 3.31, 4 Fe 3.31
Sr 0.7500 0.7500 0.7500  4 Mo 3.31, 4 Fe 3.31
Fe 0.0000 0.0000 0.0000  8 Sr 3.31
Mo 0.5000 0.5000 0.5000  8 Sr 3.31

***

(4)
Computed, not measured: an optimized crystal structure of AcLa4Pm2 at the PBE-GGA level of DFT.

- formation energy from the elements (meV/atom) = 122
- space-group type = Fmm2, No. 42
- size of the total moment (μB/atom) = 0.000
- energy above the most stable polymorph in this dataset (eV per atom) = 0.000

Cell: 7.0544 7.0529 8.7186 Å, 51.84 51.82 76.34°
Closest atoms and distances in Å follow each position.
Positions (direct):
Ac 0.0000 0.0000 0.0000  8 La 3.72-3.89
La 0.2409 0.6400 0.7591  4 Pm 3.40-3.80, 4 La 3.58-3.65, 1 Ac 3.73
La 0.3610 0.7608 0.2392  4 Pm 3.40-3.79, 4 La 3.58-3.64, 1 Ac 3.72
La 0.6400 0.2409 0.3600  4 Pm 3.40-3.80, 4 La 3.58-3.65, 1 Ac 3.73
La 0.7608 0.3610 0.6390  4 Pm 3.40-3.79, 4 La 3.58-3.64, 1 Ac 3.72
Pm 0.2508 0.2508 0.2492  8 La 3.40-3.80, 2 Pm 3.43
Pm 0.7508 0.7508 0.7492  8 La 3.40-3.80, 2 Pm 3.43

***

(5)
Computed, not measured: an optimized crystal structure of ScMn2Se at the PBE-GGA level of DFT.

- space-group type = I-42d, No. 122
- formation energy without anion corrections (meV per atom) = 4
- size of the total moment (μB/atom) = 1.735

Cell: 5.9350 5.9350 5.9350 Å, 101.48 101.48 127.02°
Closest atoms and distances in Å follow each position.
Positions (direct):
Sc 0.0000 0.0000 0.0000  2 Se 2.65
Sc 0.7500 0.2500 0.5000  2 Se 2.65
Mn 0.1768 0.1250 0.5518  2 Se 2.49, 2 Mn 2.76
Mn 0.3750 0.8232 0.9482  2 Se 2.49, 2 Mn 2.76
Mn 0.5732 0.6250 0.4482  2 Se 2.49, 2 Mn 2.76
Mn 0.8750 0.4268 0.0518  2 Se 2.49, 2 Mn 2.76
Se 0.2500 0.7500 0.5000  4 Mn 2.49, 2 Sc 2.65
Se 0.5000 0.5000 0.0000  4 Mn 2.49, 2 Sc 2.65

***

(6)
Computed, not measured: an optimized crystal structure of La4ThCd5 at the PBE-GGA level of DFT.

- formation energy from the elements (meV/atom) = -271
- space-group type = P4/mmm, No. 123
- size of the total moment (μB/atom) = 0.083

Cell: 3.9262 3.9262 19.4721 Å, 90.00 90.00 90.00°
Closest atoms and distances in Å follow each position.
Positions (direct):
La 0.0000 0.0000 0.1015  8 Cd 3.40-3.41
La 0.0000 0.0000 0.3047  8 Cd 3.39-3.42
La 0.0000 0.0000 0.6953  8 Cd 3.39-3.42
La 0.0000 0.0000 0.8985  8 Cd 3.40-3.41
Th 0.0000 0.0000 0.5000  8 Cd 3.34
Cd 0.5000 0.5000 0.0000  8 La 3.41
Cd 0.5000 0.5000 0.2025  8 La 3.40-3.42
Cd 0.5000 0.5000 0.4046  4 Th 3.34, 4 La 3.39, 1 Cd 3.71
Cd 0.5000 0.5000 0.5954  4 Th 3.34, 4 La 3.39, 1 Cd 3.71
Cd 0.5000 0.5000 0.7975  8 La 3.40-3.42

***

(7)
Computed, not measured: an optimized crystal structure of YHfCo2Mo at the PBE-GGA level of DFT.

- formation energy from the elements (meV/atom) = 922
- space-group type = P4/mmm, No. 123
- size of the total moment (μB/atom) = 0.501

Cell: 4.6254 4.6254 4.8315 Å, 90.00 90.00 90.00°
Closest atoms and distances in Å follow each position.
Positions (direct):
Y 0.0000 0.0000 0.0000  4 Mo 3.27, 8 Co 3.34
Hf 0.5000 0.5000 0.5000  4 Co 2.31, 2 Mo 2.42
Co 0.0000 0.5000 0.5000  2 Hf 2.31
Co 0.5000 0.0000 0.5000  2 Hf 2.31
Mo 0.5000 0.5000 0.0000  2 Hf 2.42

***

(8)
Computed, not measured: an optimized crystal structure of CaCrTe2N at the PBE-GGA level of DFT.

- space-group type = P4/mmm, No. 123
- formation energy without anion corrections (meV per atom) = -437
- size of the total moment (μB/atom) = 0.288
- energy above the most stable polymorph in this dataset (eV per atom) = 0.000

Cell: 5.5797 5.5797 3.6165 Å, 90.00 90.00 90.00°
Closest atoms and distances in Å follow each position.
Positions (direct):
Ca 0.0000 0.0000 0.0000  8 Te 3.32, 2 Ca 3.62
Cr 0.5000 0.5000 0.5000  2 N 1.81
Te 0.0000 0.5000 0.5000  2 Cr 2.79
Te 0.5000 0.0000 0.5000  2 Cr 2.79
N 0.5000 0.5000 0.0000  2 Cr 1.81

***

Number 1: DOS(E_F) 4.1 states/eV/f.u.. Number 2: DOS(E_F) 5.9 states/eV/f.u.. Number 3: DOS(E_F) 6.8 states/eV/f.u.. Number 4: DOS(E_F) 11.0 states/eV/f.u.. Number 5: DOS(E_F) 2.7 states/eV/f.u.. Number 6: DOS(E_F) 13.9 states/eV/f.u.. Number 7: DOS(E_F) 4.3 states/eV/f.u.. Number 8: DOS(E_F) 1.7 states/eV/f.u..